Entry 1:
SbTe2HI | PBE | optimized geometry

a b c (Å): 4.560 4.560 6.122
angles (deg): 90.00 90.00 90.00
Fractional coordinates of all 5 atoms:
1 H 0.000 0.000 0.000
2 I 0.000 0.000 0.500
3 Te 0.500 0.000 0.000
4 Te 0.000 0.500 0.000
5 Sb 0.500 0.500 0.500

E_tot	-2.5809	eV/atom
mass density	6.6	g cm⁻³



Entry 2:
Sb2TeHI | PBE | optimized geometry

a b c (Å): 4.912 4.912 4.943
angles (deg): 90.00 90.00 90.00
Fractional coordinates of all 5 atoms:
1 H 0.000 0.000 0.000
2 I 0.000 0.000 0.500
3 Te 0.500 0.500 0.500
4 Sb 0.000 0.500 0.000
5 Sb 0.500 0.000 0.000

E_tot	-2.6492	eV/atom
mass density	6.9	g cm⁻³



Entry 3:
Sb2TeHI | PBE | optimized geometry

a b c (Å): 5.951 5.951 5.980
angles (deg): 90.00 90.00 90.00
Site moments in Bohr magnetons follow the coordinates.
Fractional coordinates of all 5 atoms:
1 H 0.500 0.500 0.500  0.38
2 Sb 0.000 0.500 0.000  0.25
3 Sb 0.500 0.000 0.000  0.25
4 I 0.000 0.000 0.000  0.00
5 Te 0.000 0.000 0.500  0.07

E_tot	-1.8450	eV/atom
mass density	3.9	g cm⁻³